(1)
Computed, not measured: crystalline Er2ThUP4 at its relaxed geometry at the PBE level of DFT.

Output
Symmetry: P2/m (10)
ΔE_f in eV per atom: -1.4195

The structure in extended XYZ format:
```
8
Lattice="6.939 0.000 0.000 0.000 4.008 0.000 -2.313 0.000 6.550" Properties=species:S:1:pos:R:3 pbc="T T T"
Er 0.000 0.000 0.000
Er 3.469 2.004 0.000
Th -1.156 2.004 3.275
U 2.313 0.000 3.275
P 1.204 2.004 1.625
P 0.051 0.000 4.952
P 4.575 0.000 1.598
P 3.422 2.004 4.926
```



(2)
Computed, not measured: crystalline ErTh2UP4 at its relaxed geometry at the PBE level of DFT.

Output
Symmetry: P2/m (10)
ΔE_f in eV per atom: -1.4068

The structure in extended XYZ format:
```
8
Lattice="7.002 0.000 0.000 0.000 4.042 0.000 -2.325 0.000 6.625" Properties=species:S:1:pos:R:3 pbc="T T T"
Er 0.000 0.000 0.000
Th 2.338 0.000 3.313
Th 3.501 2.021 0.000
U -1.163 2.021 3.313
P -0.084 0.000 4.928
P 1.081 2.021 1.644
P 3.596 2.021 4.982
P 4.760 0.000 1.697
```



(3)
Computed, not measured: crystalline ErThU2P4 at its relaxed geometry at the PBE level of DFT.

Output
Symmetry: P2/m (10)
ΔE_f in eV per atom: -1.2609

The structure in extended XYZ format:
```
8
Lattice="6.889 0.000 0.000 0.000 3.978 0.000 -2.295 0.000 6.613" Properties=species:S:1:pos:R:3 pbc="T T T"
Er 0.000 0.000 0.000
Th 3.445 1.989 0.000
U -1.148 1.989 3.306
U 2.297 0.000 3.306
P -0.045 0.000 4.889
P 1.107 1.989 1.698
P 3.487 1.989 4.915
P 4.639 0.000 1.723
```



(4)
Computed, not measured: crystalline YErTh2P4 at its relaxed geometry at the PBE level of DFT.

Output
Symmetry: P2/m (10)
ΔE_f in eV per atom: -1.5852

The structure in extended XYZ format:
```
8
Lattice="7.008 0.000 0.000 0.000 4.082 0.000 -2.385 0.000 6.658" Properties=species:S:1:pos:R:3 pbc="T T T"
Y 0.000 0.000 0.000
Er -1.193 2.041 3.329
Th 2.312 0.000 3.329
Th 3.504 2.041 0.000
P -0.088 0.000 4.964
P 1.105 2.041 1.656
P 3.518 2.041 5.002
P 4.711 0.000 1.693
```



(5)
Computed, not measured: crystalline YEr3Th2P6 at its relaxed geometry at the PBE level of DFT.

Output
Symmetry: C2/m (12)
ΔE_f in eV per atom: -1.5990

The structure in extended XYZ format:
```
12
Lattice="8.792 -2.024 0.000 8.792 2.024 0.000 -1.823 0.000 7.849" Properties=species:S:1:pos:R:3 pbc="T T T"
Y 0.000 0.000 0.000
Er -0.911 0.000 3.925
Er 5.571 0.000 1.301
Er 10.190 0.000 6.548
Th 4.672 0.000 5.259
Th 11.088 0.000 2.590
P 1.824 0.000 4.620
P 2.799 0.000 0.601
P 8.293 0.000 1.970
P 7.467 0.000 5.879
P 12.961 0.000 7.248
P 13.936 0.000 3.229
```



(6)
Computed, not measured: crystalline Y2ErThP4 at its relaxed geometry at the PBE level of DFT.

Output
Symmetry: P2/m (10)
ΔE_f in eV per atom: -1.6180

The structure in extended XYZ format:
```
8
Lattice="6.986 0.000 0.000 0.000 4.046 0.000 -2.331 0.000 6.592" Properties=species:S:1:pos:R:3 pbc="T T T"
Y 0.000 0.000 0.000
Y 3.493 2.023 0.000
Er -1.165 2.023 3.296
Th 2.328 0.000 3.296
P 1.133 2.023 1.626
P -0.028 0.000 4.941
P 4.683 0.000 1.651
P 3.522 2.023 4.967
```



(7)
Computed, not measured: crystalline ErTh2ZrP4 at its relaxed geometry at the PBE level of DFT.

Output
Symmetry: P2/m (10)
ΔE_f in eV per atom: -1.4968

The structure in extended XYZ format:
```
8
Lattice="6.891 0.000 0.000 0.000 4.001 0.000 -2.314 0.000 6.548" Properties=species:S:1:pos:R:3 pbc="T T T"
Er 0.000 0.000 0.000
Th 2.289 0.000 3.274
Th 3.445 2.000 0.000
Zr -1.157 2.000 3.274
P -0.121 0.000 4.837
P 1.034 2.000 1.635
P 3.543 2.000 4.912
P 4.698 0.000 1.711
```



(8)
Computed, not measured: crystalline ErTiP at its relaxed geometry at the PBE level of DFT.

Output
Symmetry: P4/nmm (129)
ΔE_f in eV per atom: -1.1041

The structure in extended XYZ format:
```
6
Lattice="3.870 0.000 0.000 0.000 3.870 0.000 0.000 0.000 7.386" Properties=species:S:1:pos:R:3 pbc="T T T"
Er 0.967 0.967 1.085
Er 2.902 2.902 6.302
Ti 0.967 2.902 3.693
Ti 2.902 0.967 3.693
P 0.967 0.967 5.474
P 2.902 2.902 1.912
```



(9)
Computed, not measured: crystalline ErTiP at its relaxed geometry at the PBE level of DFT.

Output
Symmetry: C2/m (12)
ΔE_f in eV per atom: -1.0836

The structure in extended XYZ format:
```
6
Lattice="2.725 -2.726 0.000 2.725 2.726 0.000 -2.721 0.000 7.467" Properties=species:S:1:pos:R:3 pbc="T T T"
Er 0.002 0.000 2.628
Er 2.727 0.000 4.839
Ti 1.362 1.363 0.000
Ti 1.362 -1.363 0.000
P 0.000 0.000 5.631
P 2.729 0.000 1.836
```



(10)
Computed, not measured: crystalline ErTiP2 at its relaxed geometry at the PBE level of DFT.

Output
Energy above the lowest structure with this stoichiometry in meV/atom: 104.4
Symmetry: R3m (160)
ΔE_f in eV per atom: -1.2060

The structure in extended XYZ format:
```
4
Lattice="1.837 1.061 6.390 -1.837 1.061 6.390 0.000 -2.121 6.390" Properties=species:S:1:pos:R:3 pbc="T T T"
Er 0.000 0.000 0.000
Ti 0.000 0.000 3.351
P 0.000 0.000 11.045
P 0.000 0.000 14.650
```



(11)
Computed, not measured: crystalline ErTiP2 at its relaxed geometry at the PBE level of DFT.

Output
Energy above the lowest structure with this stoichiometry in meV/atom: 0.0
Symmetry: R-3m (166)
ΔE_f in eV per atom: -1.3105

The structure in extended XYZ format:
```
4
Lattice="1.862 1.075 6.138 -1.862 1.075 6.138 0.000 -2.150 6.138" Properties=species:S:1:pos:R:3 pbc="T T T"
Er 0.000 0.000 0.000
Ti 0.000 0.000 9.207
P 0.000 0.000 4.432
P 0.000 0.000 13.982
```



(12)
Computed, not measured: crystalline Er3TlP at its relaxed geometry at the PBE level of DFT.

Output
Energy above the lowest structure with this stoichiometry in meV/atom: 0.0
Symmetry: Pnma (62)
ΔE_f in eV per atom: -0.7989

The structure in extended XYZ format:
```
20
Lattice="8.863 0.000 0.000 0.000 3.954 0.000 0.000 0.000 14.932" Properties=species:S:1:pos:R:3 pbc="T T T"
Er 0.256 0.989 1.628
Er 1.453 0.989 7.654
Er 1.763 2.966 4.285
Er 2.669 0.989 11.751
Er 2.978 2.966 0.189
Er 4.176 2.966 9.093
Er 4.687 0.989 5.838
Er 5.884 0.989 14.743
Er 6.194 2.966 3.181
Er 7.100 0.989 10.647
Er 7.410 2.966 7.277
Er 8.607 2.966 13.304
Tl 0.733 2.966 10.078
Tl 3.698 0.989 2.612
Tl 5.165 2.966 12.320
Tl 8.129 0.989 4.854
P 1.446 0.989 14.102
P 2.985 2.966 6.637
P 5.877 0.989 8.295
P 7.416 2.966 0.829
```



(13)
Computed, not measured: crystalline Er2Tl2P at its relaxed geometry at the PBE level of DFT.

Output
Symmetry: C2/m (12)
ΔE_f in eV per atom: -0.6803

The structure in extended XYZ format:
```
5
Lattice="3.278 -1.930 0.000 3.278 1.930 0.000 -3.128 0.000 10.851" Properties=species:S:1:pos:R:3 pbc="T T T"
Er 1.074 0.000 1.551
Er 2.354 0.000 9.301
Tl -1.141 0.000 4.019
Tl 4.569 0.000 6.832
P 3.278 0.000 0.000
```



(14)
Computed, not measured: crystalline ErTlP at its relaxed geometry at the PBE level of DFT.

Output
Symmetry: I4mm (107)
ΔE_f in eV per atom: -0.6193

The structure in extended XYZ format:
```
3
Lattice="-1.924 1.924 5.835 1.924 -1.924 5.835 1.924 1.924 -5.835" Properties=species:S:1:pos:R:3 pbc="T T T"
Er 0.000 0.000 0.000
Tl 0.000 0.000 3.118
P 0.000 0.000 5.855
```



(15)
Computed, not measured: crystalline ErTlP2 at its relaxed geometry at the PBE level of DFT.

Output
Symmetry: R-3m (166)
ΔE_f in eV per atom: -0.4107

The structure in extended XYZ format:
```
4
Lattice="2.029 1.171 6.500 -2.029 1.171 6.500 0.000 -2.343 6.500" Properties=species:S:1:pos:R:3 pbc="T T T"
Er 0.000 0.000 0.000
Tl 0.000 0.000 9.750
P 0.000 0.000 4.951
P 0.000 0.000 14.550
```



(16)
Computed, not measured: crystalline Er3TlP at its relaxed geometry at the PBE level of DFT.

Output
Energy above the lowest structure with this stoichiometry in meV/atom: 141.8
Symmetry: Pm-3m (221)
ΔE_f in eV per atom: -0.6571

The structure in extended XYZ format:
```
5
Lattice="5.192 0.000 0.000 0.000 5.192 0.000 0.000 0.000 5.192" Properties=species:S:1:pos:R:3 pbc="T T T"
Er 0.000 0.000 2.596
Er 0.000 2.596 0.000
Er 2.596 0.000 0.000
Tl 2.596 2.596 2.596
P 0.000 0.000 0.000
```



(17)
Computed, not measured: crystalline ErTmP2 at its relaxed geometry at the PBE level of DFT.

Output
Energy above the lowest structure with this stoichiometry in meV/atom: 0.8
Symmetry: R-3m (166)
ΔE_f in eV per atom: -1.6099

The structure in extended XYZ format:
```
4
Lattice="1.980 1.143 6.461 -1.980 1.143 6.461 0.000 -2.286 6.461" Properties=species:S:1:pos:R:3 pbc="T T T"
Er 0.000 0.000 0.000
Tm 0.000 0.000 9.691
P 0.000 0.000 4.838
P 0.000 0.000 14.545
```



(18)
Computed, not measured: crystalline ErTmP2 at its relaxed geometry at the PBE level of DFT.

Output
Energy above the lowest structure with this stoichiometry in meV/atom: 0.0
Symmetry: C2/c (15)
ΔE_f in eV per atom: -1.6107

The structure in extended XYZ format:
```
16
Lattice="3.958 -7.915 0.000 3.958 7.915 0.000 -3.958 0.000 5.598" Properties=species:S:1:pos:R:3 pbc="T T T"
Er 0.990 6.928 4.199
Er 2.969 4.949 1.400
Er 0.990 -4.949 4.199
Er 2.969 -6.928 1.400
Tm 0.990 2.971 4.199
Tm 2.969 0.991 1.400
Tm 0.990 -0.991 4.199
Tm 2.969 -2.971 1.400
P 0.989 2.967 1.405
P -0.981 0.990 4.204
P 0.998 -0.990 1.405
P -0.990 -2.967 4.204
P 4.948 2.967 1.394
P 2.960 0.990 4.193
P 4.939 -0.990 1.394
P 2.969 -2.967 4.194
```



(19)
Computed, not measured: crystalline Er3TmP4 at its relaxed geometry at the PBE level of DFT.

Output
Symmetry: Cmmm (65)
ΔE_f in eV per atom: -1.6115

The structure in extended XYZ format:
```
8
Lattice="3.963 -5.604 0.000 3.963 5.604 0.000 0.000 0.000 3.964" Properties=species:S:1:pos:R:3 pbc="T T T"
Er 0.000 0.000 0.000
Er 1.982 2.802 1.982
Er 1.982 -2.802 1.982
Tm 3.963 0.000 0.000
P 3.963 2.797 0.000
P 1.988 0.000 1.982
P 5.938 0.000 1.982
P 3.963 -2.797 0.000
```



(20)
Computed, not measured: crystalline ErTm2P at its relaxed geometry at the PBE level of DFT.

Output
Symmetry: R-3m (166)
ΔE_f in eV per atom: -0.4717

The structure in extended XYZ format:
```
4
Lattice="1.834 1.059 10.033 -1.834 1.059 10.033 0.000 -2.118 10.033" Properties=species:S:1:pos:R:3 pbc="T T T"
Er 0.000 0.000 0.000
Tm 0.000 0.000 3.398
Tm 0.000 0.000 26.703
P 0.000 0.000 15.050
```